VASP calculation (PBE-GGA) on a relaxed Cr2Ni13 crystal.

Cell: 4.314 6.094 6.577 Å, 71.94 83.70 89.70°
Space group P-1 (No. 2)
Inequivalent atoms, fractional coordinates:
Cr (0.134, 0.268, 0.203)
Ni (0.000, 0.000, 0.000)
Ni (0.067, 0.132, 0.601)
Ni (0.197, 0.401, 0.802)
Ni (0.267, 0.533, 0.398)
Ni (0.331, 0.666, 0.998)
Ni (0.399, 0.799, 0.601)
Ni (0.461, 0.936, 0.200)

Results
Electronic total energy = -6.288 eV/atom
Total magnetization = 0.0040 μB/atom
Energy relative to the elements = 0.005 eV per atom

***

VASP calculation (PBE-GGA) on a relaxed Cr2Ni crystal.

Cell: 5.462 5.462 5.462 Å, 90.00 90.00 90.00°
Space group Pa-3 (No. 205)
Inequivalent atoms, fractional coordinates:
Cr (0.103, 0.103, 0.103)
Ni (0.000, 0.000, 0.500)

Results
Electronic total energy = -7.445 eV/atom
Total magnetization = 0.0000 μB/atom
Energy relative to the elements = 0.898 eV per atom

***

VASP calculation (PBE-GGA) on a relaxed Cr2Ni crystal.

Cell: 6.563 6.563 6.563 Å, 90.00 90.00 90.00°
Space group Fd-3m (No. 227, origin choice 2)
Inequivalent atoms, fractional coordinates:
Cr (0.000, 0.000, 0.000)
Ni (0.125, 0.125, 0.625)

Results
Electronic total energy = -8.082 eV/atom
Total magnetization = 0.0000 μB/atom
Energy relative to the elements = 0.261 eV per atom

***

VASP calculation (PBE-GGA) on a relaxed Cr3Ni crystal.

Cell: 5.019 7.631 2.394 Å, 90.00 90.00 90.00°
Space group Cmmm (No. 65)
Inequivalent atoms, fractional coordinates:
Cr (0.000, 0.000, 0.000)
Cr (0.250, 0.250, 0.500)
Ni (0.000, 0.500, 0.000)

Results
Electronic total energy = -8.489 eV/atom
Total magnetization = 0.0000 μB/atom
Energy relative to the elements = 0.174 eV per atom

***

VASP calculation (PBE-GGA) on a relaxed Cr3Ni crystal.

Cell: 5.763 5.763 5.763 Å, 90.00 90.00 90.00°
Space group Fm-3m (No. 225)
Inequivalent atoms, fractional coordinates:
Cr (0.000, 0.000, 0.000)
Cr (0.250, 0.250, 0.250)
Ni (0.000, 0.000, 0.500)

Results
Electronic total energy = -8.510 eV/atom
Total magnetization = 0.8740 μB/atom
Energy relative to the elements = 0.153 eV per atom

***

VASP calculation (PBE-GGA) on a relaxed Cr2Ni crystal.

Cell: 7.0627 7.0627 2.3739 Å, 90.00 90.00 120.00°
Space group P-62m (No. 189)
Inequivalent atoms, fractional coordinates:
Cr (0.0000, 0.3061, 0.0000)
Cr (0.0000, 0.6388, 0.5000)
Ni (0.0000, 0.0000, 0.5000)
Ni (0.3333, 0.6667, 0.0000)

Results
Electronic total energy = -8.180 eV/atom
Total magnetization = 0.0000 μB/atom
Energy relative to the elements = 0.162 eV per atom